# LuZrCuRe

An optimized crystal structure of LuZrCuRe (PBE, Alexandria).

Its energy of formation from the pure elements is -56 kJ/mol of formula units. The theoretical density is 11.59 Mg/m³. The density of states at the Fermi level is 12.088 states/eV/cell.

a = 6.6621 Å, b = 6.6621 Å, c = 6.6621 Å
α = 90.00°, β = 90.00°, γ = 90.00°
Space group F-43m (No. 216)
Unique sites:
Lu: 0.0000 0.0000 0.0000 [4 per cell]
Zr: 0.0000 0.0000 0.5000 [4 per cell]
Cu: 0.2500 0.2500 0.2500 [4 per cell]
Re: 0.2500 0.2500 0.7500 [4 per cell]

***

# LuCuRh2

An optimized crystal structure of LuCuRh2 (PBE, Alexandria).

Its energy above the most stable polymorph in this dataset is 87 meV/atom. Its energy of formation from the pure elements is -173 kJ/mol of formula units. The theoretical density is 11.58 Mg/m³. The density of states at the Fermi level is 4.505 states/eV/cell.

a = 3.2482 Å, b = 3.2482 Å, c = 6.0383 Å
α = 90.00°, β = 90.00°, γ = 90.00°
Space group P4/mmm (No. 123)
Unique sites:
Lu: 0.0000 0.0000 0.0000 [1 per cell]
Cu: 0.0000 0.0000 0.5000 [1 per cell]
Rh: 0.5000 0.5000 0.2752 [2 per cell]

***

# LuCu4Rh

An optimized crystal structure of LuCu4Rh (PBE, Alexandria).

Its energy of formation from the pure elements is -181 kJ/mol of formula units. The theoretical density is 10.40 Mg/m³. The density of states at the Fermi level is 4.610 states/eV/cell.

a = 6.9774 Å, b = 6.9774 Å, c = 6.9774 Å
α = 90.00°, β = 90.00°, γ = 90.00°
Space group F-43m (No. 216)
Unique sites:
Lu: 0.0000 0.0000 0.0000 [4 per cell]
Cu: 0.1242 0.1242 0.6242 [16 per cell]
Rh: 0.2500 0.2500 0.2500 [4 per cell]

***

# Lu2CuRh

An optimized crystal structure of Lu2CuRh (PBE, Alexandria).

Its energy of formation from the pure elements is -250 kJ/mol of formula units. The theoretical density is 11.14 Mg/m³. The density of states at the Fermi level is 2.329 states/eV/cell.

a = 4.7474 Å, b = 4.7474 Å, c = 3.4153 Å
α = 90.00°, β = 90.00°, γ = 90.00°
Space group P4/mmm (No. 123)
Unique sites:
Lu: 0.0000 0.5000 0.0000 [2 per cell]
Cu: 0.0000 0.0000 0.5000 [1 per cell]
Rh: 0.5000 0.5000 0.5000 [1 per cell]

***

# Lu2CuRh

An optimized crystal structure of Lu2CuRh (PBE, Alexandria).

Its energy of formation from the pure elements is -251 kJ/mol of formula units. The theoretical density is 11.11 Mg/m³. The density of states at the Fermi level is 9.368 states/eV/cell.

a = 6.7586 Å, b = 6.7586 Å, c = 6.7586 Å
α = 90.00°, β = 90.00°, γ = 90.00°
Space group Fm-3m (No. 225)
Unique sites:
Lu: 0.2500 0.2500 0.2500 [8 per cell]
Cu: 0.0000 0.0000 0.0000 [4 per cell]
Rh: 0.0000 0.0000 0.5000 [4 per cell]

***

# LuCuRh4

An optimized crystal structure of LuCuRh4 (PBE, Alexandria).

Its energy of formation from the pure elements is -156 kJ/mol of formula units. The theoretical density is 10.99 Mg/m³. The density of states at the Fermi level is 37.846 states/eV/cell.

a = 7.3247 Å, b = 7.3247 Å, c = 7.3247 Å
α = 90.00°, β = 90.00°, γ = 90.00°
Space group F-43m (No. 216)
Unique sites:
Lu: 0.0000 0.0000 0.0000 [4 per cell]
Cu: 0.2500 0.2500 0.2500 [4 per cell]
Rh: 0.1246 0.1246 0.6246 [16 per cell]

***

# LuCuRh2

An optimized crystal structure of LuCuRh2 (PBE, Alexandria).

Its energy above the most stable polymorph in this dataset is 0 meV/atom. Its energy of formation from the pure elements is -207 kJ/mol of formula units. The theoretical density is 11.72 Mg/m³. The density of states at the Fermi level is 5.578 states/eV/cell.

a = 4.0461 Å, b = 4.0461 Å, c = 3.8442 Å
α = 90.00°, β = 90.00°, γ = 90.00°
Space group P4/mmm (No. 123)
Unique sites:
Lu: 0.0000 0.0000 0.0000 [1 per cell]
Cu: 0.5000 0.5000 0.0000 [1 per cell]
Rh: 0.0000 0.5000 0.5000 [2 per cell]

***

# LuCuRh2

An optimized crystal structure of LuCuRh2 (PBE, Alexandria).

Its energy above the most stable polymorph in this dataset is 42 meV/atom. Its energy of formation from the pure elements is -190 kJ/mol of formula units. The theoretical density is 11.67 Mg/m³. The density of states at the Fermi level is 9.708 states/eV/cell.

a = 6.3242 Å, b = 6.3242 Å, c = 6.3242 Å
α = 90.00°, β = 90.00°, γ = 90.00°
Space group Fm-3m (No. 225)
Unique sites:
Lu: 0.0000 0.0000 0.0000 [4 per cell]
Cu: 0.0000 0.0000 0.5000 [4 per cell]
Rh: 0.2500 0.2500 0.2500 [8 per cell]